Density functional theory data (PBE) for a relaxed structure of LiPrThIr.

POSCAR file:
```
LiPrThIr
1.0
0.000 3.611 3.611
3.611 0.000 3.611
3.611 3.611 0.000
Li Pr Th Ir
1 1 1 1
Direct
0.000 0.000 0.000 Li
0.250 0.250 0.250 Pr
0.750 0.750 0.750 Th
0.500 0.500 0.500 Ir
```

***

Density functional theory data (PBE) for a relaxed structure of LiPrTlIr.

POSCAR file:
```
LiPrTlIr
1.0
0.000 3.474 3.474
3.474 0.000 3.474
3.474 3.474 0.000
Li Pr Tl Ir
1 1 1 1
Direct
0.000 0.000 0.000 Li
0.750 0.750 0.750 Pr
0.250 0.250 0.250 Tl
0.500 0.500 0.500 Ir
```

***

Density functional theory data (PBE) for a relaxed structure of LiPrTmIr.

POSCAR file:
```
LiPrTmIr
1.0
0.000 3.530 3.530
3.530 0.000 3.530
3.530 3.530 0.000
Li Pr Tm Ir
1 1 1 1
Direct
0.000 0.000 0.000 Li
0.750 0.750 0.750 Pr
0.250 0.250 0.250 Tm
0.500 0.500 0.500 Ir
```

***

Density functional theory data (PBE) for a relaxed structure of LiPrYIr.

POSCAR file:
```
LiPrYIr
1.0
0.000 3.559 3.559
3.559 0.000 3.559
3.559 3.559 0.000
Li Pr Y Ir
1 1 1 1
Direct
0.000 0.000 0.000 Li
0.250 0.250 0.250 Pr
0.750 0.750 0.750 Y
0.500 0.500 0.500 Ir
```

***

Density functional theory data (PBE) for a relaxed structure of LiPr2ZnIr2.

POSCAR file:
```
LiPr2ZnIr2
1.0
-2.904 7.381 2.916
2.904 -7.381 2.916
2.904 7.381 -2.916
Li Pr Zn Ir
2 4 2 4
Direct
0.250 0.250 0.000 Li
0.750 0.750 0.000 Li
0.168 0.244 0.413 Pr
0.332 0.744 0.076 Pr
0.668 0.256 0.924 Pr
0.832 0.756 0.587 Pr
0.250 0.750 0.500 Zn
0.750 0.250 0.500 Zn
0.120 0.741 0.861 Ir
0.380 0.241 0.621 Ir
0.620 0.759 0.379 Ir
0.880 0.259 0.139 Ir
```

***

Density functional theory data (PBE) for a relaxed structure of LiIr2Pt.

POSCAR file:
```
LiIr2Pt
1.0
3.756 0.000 0.000
0.000 3.756 0.000
0.000 0.000 4.002
Li Ir Pt
1 2 1
Direct
0.000 0.000 0.000 Li
0.000 0.500 0.500 Ir
0.500 0.000 0.500 Ir
0.500 0.500 0.000 Pt
```

- ΔE to the lowest computed polymorph: 68 meV/atom

***

Density functional theory data (PBE) for a relaxed structure of Li2IrPt.

POSCAR file:
```
Li2IrPt
1.0
1.391 -2.286 0.000
1.391 2.286 0.000
0.000 0.000 8.722
Li Ir Pt
2 1 1
Direct
0.000 0.000 0.247 Li
0.000 0.000 0.753 Li
0.500 0.500 0.000 Ir
0.500 0.500 0.500 Pt
```

- ΔE to the lowest computed polymorph: 59 meV/atom

***

Density functional theory data (PBE) for a relaxed structure of LiIr2Pt.

POSCAR file:
```
LiIr2Pt
1.0
-1.922 1.922 3.785
1.922 -1.922 3.785
1.922 1.922 -3.785
Li Ir Pt
1 2 1
Direct
0.000 0.000 0.000 Li
0.250 0.750 0.500 Ir
0.500 0.500 0.000 Ir
0.750 0.250 0.500 Pt
```

- ΔE to the lowest computed polymorph: 12 meV/atom

***

Density functional theory data (PBE) for a relaxed structure of Li2IrPt2.

POSCAR file:
```
Li2IrPt2
1.0
6.925 0.000 0.000
0.000 6.925 0.000
0.000 0.000 2.735
Li Ir Pt
4 2 4
Direct
0.109 0.391 0.000 Li
0.391 0.891 0.000 Li
0.609 0.109 0.000 Li
0.891 0.609 0.000 Li
0.000 0.000 0.000 Ir
0.500 0.500 0.000 Ir
0.192 0.692 0.500 Pt
0.308 0.192 0.500 Pt
0.692 0.808 0.500 Pt
0.808 0.308 0.500 Pt
```

- ΔE to the lowest computed polymorph: 0 meV/atom

***

Density functional theory data (PBE) for a relaxed structure of LiIrPt2.

POSCAR file:
```
LiIrPt2
1.0
-1.928 1.928 3.860
1.928 -1.928 3.860
1.928 1.928 -3.860
Li Ir Pt
1 1 2
Direct
0.000 0.000 0.000 Li
0.750 0.250 0.500 Ir
0.250 0.750 0.500 Pt
0.500 0.500 0.000 Pt
```

- ΔE to the lowest computed polymorph: 176 meV/atom

***

Density functional theory data (PBE) for a relaxed structure of LiIrPt2.

POSCAR file:
```
LiIrPt2
1.0
-1.911 1.911 8.710
1.911 -1.911 8.710
1.911 1.911 -8.710
Li Ir Pt
2 2 4
Direct
0.000 0.000 0.000 Li
0.750 0.250 0.500 Li
0.250 0.750 0.500 Ir
0.500 0.500 0.000 Ir
0.123 0.625 0.998 Pt
0.375 0.373 0.498 Pt
0.627 0.125 0.002 Pt
0.875 0.877 0.502 Pt
```

- ΔE to the lowest computed polymorph: 556 meV/atom

***

Density functional theory data (PBE) for a relaxed structure of LiIrPt2.

POSCAR file:
```
LiIrPt2
1.0
-1.936 1.936 3.819
1.936 -1.936 3.819
1.936 1.936 -3.819
Li Ir Pt
1 1 2
Direct
0.000 0.000 0.000 Li
0.500 0.500 0.000 Ir
0.250 0.750 0.500 Pt
0.750 0.250 0.500 Pt
```

- ΔE to the lowest computed polymorph: 150 meV/atom

***

VASP energy (eV/atom)
-6.059, -4.750, -5.486, -5.955, -5.581, -6.521, -5.060, -6.577, -5.213, -5.908, -5.527, -5.933
Total magnetization (μB/cell)
0.000, 0.000, 0.000, 0.000, 0.000, 0.000, 0.000, 0.000, 0.000, 0.000, 0.000, 0.000
DOS(E_F) (states/eV/f.u.)
3.36, 3.82, 2.94, 3.05, 2.14, 4.52, 3.28, 1.98, 2.60, 3.83, 2.63, 2.67